[1]
Crystalline CsAgBiS2 at its relaxed geometry, computed with PBE.

The space group is Cmme (No. 67) and the conventional cell measures 8.383, 16.457 and 5.046 Å, with angles of 90.00, 90.00 and 90.00 degrees. The inequivalent atoms are Cs at (0.000, 0.250, 0.184), Ag at (0.000, 0.000, 0.000), Bi at (0.250, 0.000, 0.500) and S at (0.000, 0.107, 0.670).

Its uncorrected formation energy is -411 meV per atom. As for the crystal system: orthorhombic. The value obtained for the total DFT energy (no corrections) is -71.6 eV/cell.


[2]
Crystalline KGa6Ge6 at its relaxed geometry, computed with PBE.

The space group is Pm-3 (No. 200) and the conventional cell measures 7.151, 7.151 and 7.151 Å, with angles of 90.00, 90.00 and 90.00 degrees. The inequivalent atoms are K at (0.000, 0.000, 0.000), Ga at (0.000, 0.500, 0.252) and Ge at (0.000, 0.248, 0.500).

The calculation puts the formation energy at 110 meV per atom. As for the crystal system: cubic. The value obtained for the total DFT energy (no corrections) is -45.5 eV/cell.


[3]
Crystalline CrCoAsRu at its relaxed geometry, computed with PBE.

The space group is F-43m (No. 216) and the conventional cell measures 5.938, 5.938 and 5.938 Å, with angles of 90.00, 90.00 and 90.00 degrees. The inequivalent atoms are Cr at (0.000, 0.000, 0.000), Co at (0.250, 0.250, 0.250), As at (0.000, 0.000, 0.500) and Ru at (0.250, 0.250, 0.750).

The calculation puts the formation energy at 12 meV per atom. As for the crystal system: cubic. The value obtained for the total DFT energy (no corrections) is -122.4 eV/cell.


What is the formula in the third record?
CrCoAsRu


Repeat the third record exactly.
Crystalline CrCoAsRu at its relaxed geometry, computed with PBE.

The space group is F-43m (No. 216) and the conventional cell measures 5.938, 5.938 and 5.938 Å, with angles of 90.00, 90.00 and 90.00 degrees. The inequivalent atoms are Cr at (0.000, 0.000, 0.000), Co at (0.250, 0.250, 0.250), As at (0.000, 0.000, 0.500) and Ru at (0.250, 0.250, 0.750).

The calculation puts the formation energy at 12 meV per atom. As for the crystal system: cubic. The value obtained for the total DFT energy (no corrections) is -122.4 eV/cell.